Entry 1:
Material: Li2YOs
Method: DFT, PBE-GGA
State: optimized geometry

```
Li2YOs
1.0
1.4277 0.8243 10.2829
-1.4277 0.8243 10.2829
0.0000 -1.6486 10.2829
Li Y Os
2 1 1
direct
0.2378 0.2378 0.2378 Li
0.7622 0.7622 0.7622 Li
0.0000 0.0000 0.0000 Y
0.5000 0.5000 0.5000 Os
```

Calculated values
Formation enthalpy at 0 K, kJ per mole of atoms: 49.6
Distance to the lowest polymorph of the same formula, eV per atom: 0.356
Spin magnetization, μB per cell: 0.12

=====

Entry 2:
Material: TaCuAs2
Method: DFT, PBE-GGA
State: optimized geometry

```
TaCuAs2
1.0
3.3753 0.0000 0.0000
0.0000 3.3753 0.0000
0.0000 0.0000 5.6934
Ta Cu As
1 1 2
direct
0.0000 0.0000 0.0000 Ta
0.0000 0.0000 0.5000 Cu
0.5000 0.5000 0.2448 As
0.5000 0.5000 0.7552 As
```

Calculated values
Formation enthalpy at 0 K, kJ per mole of atoms: -8.4
Spin magnetization, μB per cell: 0.00